(1)
Compound: PmPu3Pa2N6
Source: Alexandria
Functional: PBE
Structure: relaxed

It has space group C2/m (No. 12), with a = 6.110 Å, b = 10.575 Å, c = 6.080 Å, α = 90.00°, β = 109.59° and γ = 90.00°. The asymmetric unit holds Pm at (0.000, 0.000, 0.000), Pu at (0.000, 0.164, 0.500), Pu at (0.000, 0.500, 0.500), Pa at (0.000, 0.333, 0.000), N at (0.230, 0.500, 0.240) and N at (0.244, 0.325, 0.757).

The size of the total moment is 15.8 μB per formula unit. The calculation puts the raw total energy at -11.16 eV per atom. The value obtained for the formation energy without anion corrections is -1.438 eV/atom.

=====

(2)
Compound: La5PmEr3
Source: Alexandria
Functional: PBE
Structure: relaxed

It has space group C2/c (No. 15), with a = 14.461 Å, b = 11.898 Å, c = 9.044 Å, α = 90.00°, β = 125.50° and γ = 90.00°. The asymmetric unit holds La at (0.000, 0.209, 0.250), La at (0.210, 0.423, 0.434), La at (0.214, 0.192, 0.149), Pm at (0.000, 0.314, 0.750), Er at (0.000, 0.500, 0.000) and Er at (0.092, 0.071, 0.691).

The size of the total moment is 0.0 μB per formula unit. The calculation puts the raw total energy at -4.62 eV per atom. The formation energy is 0.17 eV per atom.

=====

Q: Among the records above, which one has the highest size of the total moment?
A: PmPu3Pa2N6

=====

Q: The lowest size of the total moment belongs to which entry?
A: La5PmEr3

=====

Q: Which of these has the lowest raw total energy?
A: PmPu3Pa2N6

=====

Q: Among the records above, which one has the lowest raw total energy?
A: PmPu3Pa2N6